Compound: RbPrNd4S8
Source: Alexandria
Functional: GGA-PBE
Structure: optimized geometry

Output
* electronic total energy: -84.2 eV per cell
* volume: 31.6 Å³ per atom
* Fermi-level density of states: 0.00 states/eV/atom
* uncorrected formation energy: -1.881 eV per atom

Unit cell a=8.5671 b=8.5671 c=8.5671 alpha=59.78 beta=59.78 gamma=59.78
Closest atoms and distances in Å follow each position.
Element x y z (fractional)
1 Rb 0.0000 0.0000 0.0000  4 S 3.00
2 Pr 0.6300 0.6300 0.6300  6 S 2.78-3.00
3 Nd 0.1140 0.6299 0.6299  6 S 2.76-2.99
4 Nd 0.2512 0.2512 0.2512  4 S 2.76-2.77
5 Nd 0.6299 0.1140 0.6299  6 S 2.76-2.99
6 Nd 0.6299 0.6299 0.1140  6 S 2.76-2.99
7 S 0.3832 0.3832 0.3832  4 Nd 2.77-2.99
8 S 0.3826 0.3826 0.8550  3 Nd 2.76-2.99, 1 Pr 3.00
9 S 0.3826 0.8550 0.3826  3 Nd 2.76-2.99, 1 Pr 3.00
10 S 0.4300 0.8592 0.8592  2 Nd 2.76, 1 Pr 2.78, 1 Rb 3.00
11 S 0.8550 0.3826 0.3826  3 Nd 2.76-2.99, 1 Pr 3.00
12 S 0.8575 0.8575 0.8575  3 Nd 2.76, 1 Rb 3.00
13 S 0.8592 0.4300 0.8592  2 Nd 2.76, 1 Pr 2.78, 1 Rb 3.00
14 S 0.8592 0.8592 0.4300  2 Nd 2.76, 1 Pr 2.78, 1 Rb 3.00